Entry 1:
Computed, not measured: an optimized crystal structure of Y2Au5F21 at the PBE level of DFT.

The structure in CIF format:
```
data_Y2Au5F21
_cell_length_a 8.604
_cell_length_b 7.760
_cell_length_c 14.103
_cell_angle_alpha 90.00
_cell_angle_beta 125.75
_cell_angle_gamma 90.00
_symmetry_space_group_name_H-M 'P 1'
_symmetry_Int_Tables_number 1
loop_
_symmetry_equiv_pos_as_xyz
'x,y,z'
loop_
_atom_site_label
_atom_site_type_symbol
_atom_site_fract_x
_atom_site_fract_y
_atom_site_fract_z
F1 F 0.265 0.822 0.321
F2 F 0.000 0.500 0.500
F3 F 0.984 0.162 0.959
F4 F 0.308 0.392 0.689
F5 F 0.692 0.608 0.311
F6 F 0.610 0.887 0.378
F7 F 0.869 0.439 0.620
F8 F 0.984 0.838 0.459
F9 F 0.735 0.178 0.679
F10 F 0.664 0.735 0.598
F11 F 0.119 0.064 0.390
F12 F 0.622 0.230 0.371
F13 F 0.869 0.561 0.120
F14 F 0.336 0.735 0.902
F15 F 0.390 0.113 0.622
F16 F 0.131 0.561 0.380
F17 F 0.000 0.500 0.000
F18 F 0.465 0.555 0.076
F19 F 0.378 0.230 0.129
F20 F 0.692 0.392 0.811
F21 F 0.894 0.711 0.824
F22 F 0.610 0.113 0.878
F23 F 0.378 0.770 0.629
F24 F 0.265 0.178 0.821
F25 F 0.622 0.770 0.871
F26 F 0.881 0.936 0.610
F27 F 0.119 0.936 0.890
F28 F 0.336 0.265 0.402
F29 F 0.308 0.608 0.189
F30 F 0.106 0.711 0.676
F31 F 0.465 0.445 0.576
F32 F 0.664 0.265 0.098
F33 F 0.131 0.439 0.880
F34 F 0.535 0.445 0.924
F35 F 0.735 0.822 0.179
F36 F 0.016 0.162 0.541
F37 F 0.016 0.838 0.041
F38 F 0.106 0.289 0.176
F39 F 0.894 0.289 0.324
F40 F 0.390 0.887 0.122
F41 F 0.881 0.064 0.110
F42 F 0.535 0.555 0.424
Au1 Au 0.317 0.566 0.793
Au2 Au 0.130 0.185 0.892
Au3 Au 0.500 0.946 0.750
Au4 Au 0.317 0.434 0.293
Au5 Au 0.870 0.815 0.108
Au6 Au 0.683 0.434 0.207
Au7 Au 0.130 0.815 0.392
Au8 Au 0.500 0.054 0.250
Au9 Au 0.870 0.185 0.608
Au10 Au 0.683 0.566 0.707
Y1 Y 0.184 0.316 0.498
Y2 Y 0.184 0.684 0.998
Y3 Y 0.816 0.316 0.002
Y4 Y 0.816 0.684 0.502
```

Output
Its final energy is -4.2884 eV/atom.

***

Entry 2:
Computed, not measured: an optimized crystal structure of Fe3Au2 at the PBE level of DFT.

The structure in CIF format:
```
data_Fe3Au2
_cell_length_a 6.383
_cell_length_b 6.383
_cell_length_c 6.017
_cell_angle_alpha 122.03
_cell_angle_beta 57.97
_cell_angle_gamma 120.00
_symmetry_space_group_name_H-M 'P 1'
_symmetry_Int_Tables_number 1
loop_
_symmetry_equiv_pos_as_xyz
'x,y,z'
loop_
_atom_site_label
_atom_site_type_symbol
_atom_site_fract_x
_atom_site_fract_y
_atom_site_fract_z
Au1 Au 0.593 0.407 0.221
Au2 Au 0.093 0.907 0.721
Au3 Au 0.907 0.093 0.279
Au4 Au 0.407 0.593 0.779
Fe1 Fe 0.750 0.029 0.750
Fe2 Fe 0.029 0.529 0.250
Fe3 Fe 0.971 0.471 0.750
Fe4 Fe 0.529 0.250 0.750
Fe5 Fe 0.471 0.750 0.250
Fe6 Fe 0.250 0.971 0.250
```

Output
The formation energy comes out at 0.477 eV per atom.

***

Entry 3:
Computed, not measured: an optimized crystal structure of Ga2FeAu at the PBE level of DFT.

The structure in CIF format:
```
data_Ga2FeAu
_cell_length_a 4.477
_cell_length_b 4.477
_cell_length_c 4.477
_cell_angle_alpha 60.00
_cell_angle_beta 60.00
_cell_angle_gamma 60.00
_symmetry_space_group_name_H-M 'P 1'
_symmetry_Int_Tables_number 1
loop_
_symmetry_equiv_pos_as_xyz
'x,y,z'
loop_
_atom_site_label
_atom_site_type_symbol
_atom_site_fract_x
_atom_site_fract_y
_atom_site_fract_z
Fe1 Fe 0.750 0.750 0.750
Ga1 Ga 0.000 0.000 0.000
Ga2 Ga 0.250 0.250 0.250
Au1 Au 0.500 0.500 0.500
```

Output
Its final energy is -4.2637 eV/atom.

***

Entry 4:
Computed, not measured: an optimized crystal structure of GaFeAu at the PBE level of DFT.

The structure in CIF format:
```
data_GaFeAu
_cell_length_a 4.197
_cell_length_b 4.197
_cell_length_c 4.197
_cell_angle_alpha 60.00
_cell_angle_beta 60.00
_cell_angle_gamma 60.00
_symmetry_space_group_name_H-M 'P 1'
_symmetry_Int_Tables_number 1
loop_
_symmetry_equiv_pos_as_xyz
'x,y,z'
loop_
_atom_site_label
_atom_site_type_symbol
_atom_site_fract_x
_atom_site_fract_y
_atom_site_fract_z
Ga1 Ga 0.750 0.750 0.750
Fe1 Fe 0.000 0.000 0.000
Au1 Au 0.250 0.250 0.250
```

Output
Its final energy is -4.6971 eV/atom.

***

Entry 5:
Computed, not measured: an optimized crystal structure of HfGaFeAu at the PBE level of DFT.

The structure in CIF format:
```
data_HfGaFeAu
_cell_length_a 4.523
_cell_length_b 4.523
_cell_length_c 4.523
_cell_angle_alpha 60.00
_cell_angle_beta 60.00
_cell_angle_gamma 60.00
_symmetry_space_group_name_H-M 'P 1'
_symmetry_Int_Tables_number 1
loop_
_symmetry_equiv_pos_as_xyz
'x,y,z'
loop_
_atom_site_label
_atom_site_type_symbol
_atom_site_fract_x
_atom_site_fract_y
_atom_site_fract_z
Hf1 Hf 0.500 0.500 0.500
Ga1 Ga 0.000 0.000 0.000
Fe1 Fe 0.750 0.750 0.750
Au1 Au 0.250 0.250 0.250
```

Output
The energy above the most stable polymorph in this dataset is 0.00 eV per formula unit.

***

Entry 6:
Computed, not measured: an optimized crystal structure of HfGaFeAu at the PBE level of DFT.

The structure in CIF format:
```
data_HfGaFeAu
_cell_length_a 4.557
_cell_length_b 4.557
_cell_length_c 4.557
_cell_angle_alpha 60.00
_cell_angle_beta 60.00
_cell_angle_gamma 60.00
_symmetry_space_group_name_H-M 'P 1'
_symmetry_Int_Tables_number 1
loop_
_symmetry_equiv_pos_as_xyz
'x,y,z'
loop_
_atom_site_label
_atom_site_type_symbol
_atom_site_fract_x
_atom_site_fract_y
_atom_site_fract_z
Au1 Au 0.500 0.500 0.500
Hf1 Hf 0.250 0.250 0.250
Fe1 Fe 0.750 0.750 0.750
Ga1 Ga 0.000 0.000 0.000
```

Output
The energy above the most stable polymorph in this dataset is 0.18 eV per formula unit.

***

Entry 7:
Computed, not measured: an optimized crystal structure of GaFeIrAu at the PBE level of DFT.

The structure in CIF format:
```
data_GaFeIrAu
_cell_length_a 4.395
_cell_length_b 4.395
_cell_length_c 4.395
_cell_angle_alpha 60.00
_cell_angle_beta 60.00
_cell_angle_gamma 60.00
_symmetry_space_group_name_H-M 'P 1'
_symmetry_Int_Tables_number 1
loop_
_symmetry_equiv_pos_as_xyz
'x,y,z'
loop_
_atom_site_label
_atom_site_type_symbol
_atom_site_fract_x
_atom_site_fract_y
_atom_site_fract_z
Ir1 Ir 0.250 0.250 0.250
Au1 Au 0.500 0.500 0.500
Fe1 Fe 0.750 0.750 0.750
Ga1 Ga 0.000 0.000 0.000
```

Output
The energy above the most stable polymorph in this dataset is 0.00 eV per formula unit.

***

Entry 8:
Computed, not measured: an optimized crystal structure of GaFeMoAu at the PBE level of DFT.

The structure in CIF format:
```
data_GaFeMoAu
_cell_length_a 4.415
_cell_length_b 4.415
_cell_length_c 4.415
_cell_angle_alpha 60.00
_cell_angle_beta 60.00
_cell_angle_gamma 60.00
_symmetry_space_group_name_H-M 'P 1'
_symmetry_Int_Tables_number 1
loop_
_symmetry_equiv_pos_as_xyz
'x,y,z'
loop_
_atom_site_label
_atom_site_type_symbol
_atom_site_fract_x
_atom_site_fract_y
_atom_site_fract_z
Mo1 Mo 0.250 0.250 0.250
Fe1 Fe 0.750 0.750 0.750
Ga1 Ga 0.000 0.000 0.000
Au1 Au 0.500 0.500 0.500
```

Output
The energy above the most stable polymorph in this dataset is 0.00 eV per formula unit.

***

Entry 9:
Computed, not measured: an optimized crystal structure of GaFeMoAu at the PBE level of DFT.

The structure in CIF format:
```
data_GaFeMoAu
_cell_length_a 4.431
_cell_length_b 4.431
_cell_length_c 4.431
_cell_angle_alpha 60.00
_cell_angle_beta 60.00
_cell_angle_gamma 60.00
_symmetry_space_group_name_H-M 'P 1'
_symmetry_Int_Tables_number 1
loop_
_symmetry_equiv_pos_as_xyz
'x,y,z'
loop_
_atom_site_label
_atom_site_type_symbol
_atom_site_fract_x
_atom_site_fract_y
_atom_site_fract_z
Fe1 Fe 0.750 0.750 0.750
Au1 Au 0.250 0.250 0.250
Ga1 Ga 0.000 0.000 0.000
Mo1 Mo 0.500 0.500 0.500
```

Output
The energy above the most stable polymorph in this dataset is 0.10 eV per formula unit.

***

Entry 10:
Computed, not measured: an optimized crystal structure of GaFeAu2N4 at the PBE level of DFT.

The structure in CIF format:
```
data_GaFeAu2N4
_cell_length_a 2.941
_cell_length_b 2.941
_cell_length_c 12.348
_cell_angle_alpha 90.00
_cell_angle_beta 90.00
_cell_angle_gamma 120.00
_symmetry_space_group_name_H-M 'P 1'
_symmetry_Int_Tables_number 1
loop_
_symmetry_equiv_pos_as_xyz
'x,y,z'
loop_
_atom_site_label
_atom_site_type_symbol
_atom_site_fract_x
_atom_site_fract_y
_atom_site_fract_z
Au1 Au 0.333 0.667 0.253
Au2 Au 0.667 0.333 0.747
N1 N 0.333 0.667 0.089
N2 N 0.333 0.667 0.418
N3 N 0.667 0.333 0.911
N4 N 0.667 0.333 0.582
Fe1 Fe 0.000 0.000 0.500
Ga1 Ga 0.000 0.000 0.000
```

Output
Its final energy is -5.7906 eV/atom.

***

Entry 11:
Computed, not measured: an optimized crystal structure of GaFeNiAu at the PBE level of DFT.

The structure in CIF format:
```
data_GaFeNiAu
_cell_length_a 4.286
_cell_length_b 4.286
_cell_length_c 4.286
_cell_angle_alpha 60.00
_cell_angle_beta 60.00
_cell_angle_gamma 60.00
_symmetry_space_group_name_H-M 'P 1'
_symmetry_Int_Tables_number 1
loop_
_symmetry_equiv_pos_as_xyz
'x,y,z'
loop_
_atom_site_label
_atom_site_type_symbol
_atom_site_fract_x
_atom_site_fract_y
_atom_site_fract_z
Ga1 Ga 0.000 0.000 0.000
Au1 Au 0.250 0.250 0.250
Ni1 Ni 0.500 0.500 0.500
Fe1 Fe 0.750 0.750 0.750
```

Output
The energy above the most stable polymorph in this dataset is 0.07 eV per formula unit.

***

Entry 12:
Computed, not measured: an optimized crystal structure of GaFeNiAu at the PBE level of DFT.

The structure in CIF format:
```
data_GaFeNiAu
_cell_length_a 4.282
_cell_length_b 4.282
_cell_length_c 4.282
_cell_angle_alpha 60.00
_cell_angle_beta 60.00
_cell_angle_gamma 60.00
_symmetry_space_group_name_H-M 'P 1'
_symmetry_Int_Tables_number 1
loop_
_symmetry_equiv_pos_as_xyz
'x,y,z'
loop_
_atom_site_label
_atom_site_type_symbol
_atom_site_fract_x
_atom_site_fract_y
_atom_site_fract_z
Ni1 Ni 0.250 0.250 0.250
Au1 Au 0.500 0.500 0.500
Fe1 Fe 0.750 0.750 0.750
Ga1 Ga 0.000 0.000 0.000
```

Output
The energy above the most stable polymorph in this dataset is 0.00 eV per formula unit.

***

Entry 13:
Computed, not measured: an optimized crystal structure of GaFeOsAu at the PBE level of DFT.

The structure in CIF format:
```
data_GaFeOsAu
_cell_length_a 4.381
_cell_length_b 4.381
_cell_length_c 4.381
_cell_angle_alpha 60.00
_cell_angle_beta 60.00
_cell_angle_gamma 60.00
_symmetry_space_group_name_H-M 'P 1'
_symmetry_Int_Tables_number 1
loop_
_symmetry_equiv_pos_as_xyz
'x,y,z'
loop_
_atom_site_label
_atom_site_type_symbol
_atom_site_fract_x
_atom_site_fract_y
_atom_site_fract_z
Fe1 Fe 0.750 0.750 0.750
Ga1 Ga 0.000 0.000 0.000
Os1 Os 0.250 0.250 0.250
Au1 Au 0.500 0.500 0.500
```

Output
The energy above the most stable polymorph in this dataset is 0.00 eV per formula unit.